# 1
A plane-wave DFT calculation with PBE was carried out for a relaxed La2NdN3 crystal.

abc: 6.4486 6.4486 6.4486
angles: 146.46 131.99 59.83
Fractional coordinates of all 6 atoms:
1 La 0.1659 0.1659 0.0000
2 La 0.8341 0.8341 0.0000
3 Nd 0.5000 0.5000 0.0000
4 N 0.0000 0.5000 0.5000
5 N 0.3370 0.8370 0.5000
6 N 0.6630 0.1630 0.5000

Calculated values
calculated volume = 109.1 Å³/cell
DOS(E_F) = 0.907 states/eV/f.u.

---

# 2
A plane-wave DFT calculation with PBE was carried out for a relaxed LaNd2N2 crystal.

abc: 6.4901 6.4901 6.4901
angles: 147.19 132.58 58.86
Fractional coordinates of all 5 atoms:
1 La 0.0000 0.0000 0.0000
2 Nd 0.3174 0.3174 0.0000
3 Nd 0.6826 0.6826 0.0000
4 N 0.1721 0.6721 0.5000
5 N 0.8279 0.3279 0.5000

Calculated values
energy above the lowest structure with this stoichiometry = 7 kJ/mol of formula units
calculated volume = 108.1 Å³/cell
DOS(E_F) = 3.961 states/eV/f.u.

---

Calculated E_tot (eV/atom), listed in the same order as above: -7.9278 -7.2849
Calculated ΔE_f (raw) (eV/atom), listed in the same order as above: -1.328 -1.062